(1)
ZnCrSiO5 | SCAN | single point on PBEsol structure

Output
The density of states at the Fermi level is 0.1411 states/eV/atom. The symmetry is P-1, No. 2. The volume comes out at 10.59 Å³ per atom. The crystal system is triclinic. As for the total energy: -11.462 eV/atom. The formation energy from raw total energies is -2.328 eV/atom.

Cell: 5.2433 5.3032 6.9267 Å, 107.25 107.77 97.98°
Fractional coordinates of all 16 atoms:
O1 0.6750 0.6952 0.8457
O2 0.7815 0.2552 0.9506
O3 0.1270 0.6677 0.3978
O4 0.0770 0.9462 0.7556
O5 0.6476 0.7556 0.3945
O6 0.9230 0.0538 0.2444
O7 0.3524 0.2444 0.6055
O8 0.3250 0.3048 0.1543
O9 0.8730 0.3323 0.6022
O10 0.2185 0.7448 0.0494
Cr1 0.0000 0.0000 0.0000
Cr2 0.0000 0.0000 0.5000
Si1 0.3201 0.6291 0.2468
Si2 0.6799 0.3709 0.7532
Zn1 0.2595 0.6319 0.7370
Zn2 0.7405 0.3681 0.2630

---

(2)
CsBa3Pt | SCAN | single point on PBEsol structure

Output
The density of states at the Fermi level is 0.7134 states/eV/atom. The symmetry is Pm-3m, No. 221. The volume comes out at 51.44 Å³ per atom. The crystal system is cubic. As for the total energy: -45.690 eV/atom. The formation enthalpy at 0 K comes out at -35 kJ per mole of atoms.

Cell: 6.3595 6.3595 6.3595 Å, 90.00 90.00 90.00°
Fractional coordinates of all 5 atoms:
Pt1 0.0000 0.0000 0.0000
Ba1 0.0000 0.0000 0.5000
Ba2 0.0000 0.5000 0.0000
Ba3 0.5000 0.0000 0.0000
Cs1 0.5000 0.5000 0.5000

---

(3)
Cs2NbSn | SCAN | single point on PBEsol structure

Output
The density of states at the Fermi level is 0.7629 states/eV/atom. The symmetry is Fm-3m, No. 225. The volume comes out at 38.57 Å³ per atom. The crystal system is cubic. As for the total energy: -35.071 eV/atom. The formation enthalpy at 0 K comes out at 106 kJ per mole of atoms.

Cell: 6.0204 6.0204 6.0204 Å, 60.00 60.00 60.00°
Fractional coordinates of all 4 atoms:
Nb1 0.0000 0.0000 0.0000
Cs1 0.2500 0.2500 0.2500
Cs2 0.7500 0.7500 0.7500
Sn1 0.5000 0.5000 0.5000

---

(4)
CsBi2Br7 | SCAN | single point on PBEsol structure

Output
The density of states at the Fermi level is 0.0000 states/eV/atom. The symmetry is P-1, No. 2. The volume comes out at 36.14 Å³ per atom. The crystal system is triclinic. As for the total energy: -34.112 eV/atom. The formation energy from raw total energies is -0.994 eV/atom.

Cell: 7.5257 9.6141 10.5752 Å, 76.51 83.76 76.70°
Fractional coordinates of all 20 atoms:
Cs1 0.3832 0.8683 0.3126
Cs2 0.6168 0.1317 0.6874
Br1 0.8579 0.8761 0.4328
Br2 0.2774 0.9806 0.9527
Br3 0.3698 0.3776 0.9300
Br4 0.2452 0.5175 0.5461
Br5 0.0321 0.2093 0.2021
Br6 0.5044 0.2388 0.3220
Br7 0.8979 0.3454 0.8231
Br8 0.1421 0.1239 0.5672
Br9 0.6302 0.6224 0.0700
Br10 0.4956 0.7612 0.6780
Br11 0.7548 0.4825 0.4539
Br12 0.7226 0.0194 0.0473
Br13 0.1021 0.6546 0.1769
Br14 0.9679 0.7907 0.7979
Bi1 0.8718 0.6369 0.6273
Bi2 0.3066 0.6994 0.9404
Bi3 0.1282 0.3631 0.3727
Bi4 0.6934 0.3006 0.0596